[1]
# Tb8AlBi2, optimized geometry, DFT PBE
data_Tb8AlBi2
_symmetry_space_group_name_H-M 'P 1'
_symmetry_Int_Tables_number 1
_symmetry_space_group_name_Hall 'P 1'
_cell_length_a 10.018
_cell_length_b 10.018
_cell_length_c 6.822
_cell_angle_alpha 102.35
_cell_angle_beta 102.35
_cell_angle_gamma 29.81
loop_
_atom_site_label
_atom_site_fract_x
_atom_site_fract_y
_atom_site_fract_z
_atom_site_occupancy
Tb1 0.013 0.013 0.269 1
Tb2 0.215 0.215 0.840 1
Tb3 0.345 0.345 0.474 1
Tb4 0.411 0.411 0.021 1
Tb5 0.589 0.589 0.979 1
Tb6 0.655 0.655 0.526 1
Tb7 0.785 0.785 0.160 1
Tb8 0.987 0.987 0.731 1
Al1 0.500 0.500 0.500 1
Bi1 0.178 0.178 0.277 1
Bi2 0.822 0.822 0.723 1
# formation energy	-285	meV per atom
# size of the total moment	0.768	μB/f.u.
# crystal system	monoclinic

***

[2]
# Cs2NaAs2S6, optimized geometry, DFT PBE
data_Cs2NaAs2S6
_symmetry_space_group_name_H-M 'P 1'
_symmetry_Int_Tables_number 1
_symmetry_space_group_name_Hall 'P 1'
_cell_length_a 7.486
_cell_length_b 7.486
_cell_length_c 8.522
_cell_angle_alpha 114.42
_cell_angle_beta 114.42
_cell_angle_gamma 58.39
loop_
_atom_site_label
_atom_site_fract_x
_atom_site_fract_y
_atom_site_fract_z
_atom_site_occupancy
Cs1 0.214 0.214 0.212 1
Cs2 0.786 0.786 0.788 1
Na1 0.000 0.000 0.500 1
As1 0.461 0.461 0.806 1
As2 0.539 0.539 0.194 1
S1 0.208 0.708 0.209 1
S2 0.277 0.277 0.689 1
S3 0.292 0.792 0.791 1
S4 0.708 0.208 0.209 1
S5 0.723 0.723 0.311 1
S6 0.792 0.292 0.791 1
# size of the total moment	0.001	μB/f.u.
# E_form (uncorrected)	-0.550	eV per atom
# crystal system	monoclinic

***

[3]
# K3RbPd, optimized geometry, DFT PBE
data_K3RbPd
_symmetry_space_group_name_H-M 'P 1'
_symmetry_Int_Tables_number 1
_symmetry_space_group_name_Hall 'P 1'
_cell_length_a 7.089
_cell_length_b 7.089
_cell_length_c 7.089
_cell_angle_alpha 90.00
_cell_angle_beta 90.00
_cell_angle_gamma 90.00
loop_
_atom_site_label
_atom_site_fract_x
_atom_site_fract_y
_atom_site_fract_z
_atom_site_occupancy
K1 0.000 0.000 0.500 1
K2 0.000 0.500 0.000 1
K3 0.500 0.000 0.000 1
Rb1 0.000 0.000 0.000 1
Pd1 0.500 0.500 0.500 1
# formation energy	778	meV per atom
# size of the total moment	0.000	μB/f.u.
# distance to the lowest polymorph of the same formula	3.77	eV/f.u.
# crystal system	cubic

***

Question: Number 3 is which compound?
Answer: K3RbPd